## Na3Be4As4 (GGA-PBE)

Data for crystalline Na3Be4As4 at its relaxed geometry.

The structure belongs to space group I-43m (No. 217); the cell edges are 7.281, 7.281 and 7.281 Å and the angles 90.00°, 90.00° and 90.00°. The distinct sites, in fractional coordinates, are Na at (0.000, 0.000, 0.500), Be at (0.142, 0.142, 0.858) and As at (0.177, 0.177, 0.177).

For the energy, the calculation gives -3.6686 eV/atom. Its formation energy from the elements is -263.1 meV per atom. As for the total magnetic moment: 0.00 Bohr magnetons per cell.